The following is a DFT calculation (PBE) of a relaxed GdZnB crystal.

The calculation puts the volume at 17.99 A^3/atom. The calculation puts the total energy at -0.1404 Ha/atom.

The structure belongs to space group F-43m (No. 216); the cell edges are 5.999, 5.999 and 5.999 Å and the angles 90.00°, 90.00° and 90.00°. The inequivalent atoms are Gd at (0.000, 0.000, 0.000), Zn at (0.250, 0.250, 0.750) and B at (0.000, 0.000, 0.500).



The following is a DFT calculation (PBE) of a relaxed GdZnB4 crystal.

The calculation puts the volume at 10.56 A^3/atom. The calculation puts the total energy at -0.2010 Ha/atom.

The structure belongs to space group P6/mmm (No. 191); the cell edges are 3.1822, 3.1822 and 7.2235 Å and the angles 90.00°, 90.00° and 120.00°. The inequivalent atoms are Gd at (0.0000, 0.0000, 0.0000), Zn at (0.0000, 0.0000, 0.5000) and B at (0.3333, 0.6667, 0.2739).



The following is a DFT calculation (PBE) of a relaxed HfGeB2 crystal.

The calculation puts the volume at 13.83 A^3/atom. The calculation puts the total energy at -0.2096 Ha/atom.

The structure belongs to space group F-43m (No. 216); the cell edges are 6.049, 6.049 and 6.049 Å and the angles 90.00°, 90.00° and 90.00°. The inequivalent atoms are Hf at (0.000, 0.000, 0.000), Ge at (0.250, 0.250, 0.750), B at (0.000, 0.000, 0.500) and B at (0.250, 0.250, 0.250).